[1]
! CuSbAs2 (SCAN, single point on PBEsol structure); values from VASP
&SYSTEM
  ibrav = 0, nat = 4, ntyp = 3
/
ATOMIC_SPECIES
Cu 63.55 Cu.upf
Sb 121.76 Sb.upf
As 74.92 As.upf
ATOMIC_POSITIONS crystal
Cu 0.000 0.000 0.000
Sb 0.000 0.000 0.500
As 0.500 0.500 0.189
As 0.500 0.500 0.811
CELL_PARAMETERS angstrom
2.973 0.000 0.000
0.000 3.456 0.000
0.000 0.000 7.275
! SG   Pmmm
! VASP energy   -0.8404 hartree per atom
! Formation energy from raw total energies   0.3416 eV/atom



[2]
! CuSbAs (SCAN, single point on PBEsol structure); values from VASP
&SYSTEM
  ibrav = 0, nat = 3, ntyp = 3
/
ATOMIC_SPECIES
Cu 63.55 Cu.upf
Sb 121.76 Sb.upf
As 74.92 As.upf
ATOMIC_POSITIONS crystal
Cu 0.000 0.000 0.000
Sb 0.500 0.500 0.500
As 0.750 0.750 0.750
CELL_PARAMETERS angstrom
0.000 3.210 3.210
3.210 0.000 3.210
3.210 3.210 0.000
! SG   F-43m
! Distance to the lowest polymorph of the same formula   0.1980 eV per atom
! VASP energy   -0.8732 hartree per atom
! Formation energy from raw total energies   0.4572 eV/atom



[3]
! Sc2CuAs (SCAN, single point on PBEsol structure); values from VASP
&SYSTEM
  ibrav = 0, nat = 4, ntyp = 3
/
ATOMIC_SPECIES
Sc 44.96 Sc.upf
Cu 63.55 Cu.upf
As 74.92 As.upf
ATOMIC_POSITIONS crystal
Sc 0.000 0.000 0.000
Sc 0.500 0.500 0.345
Cu 0.500 0.500 0.772
As 0.000 0.000 0.590
CELL_PARAMETERS angstrom
2.095 -2.481 0.000
2.095 2.481 0.000
0.000 0.000 7.190
! ΔH_f (0 K)   -1.29 eV/f.u.
! SG   Cmm2
! VASP energy   -0.5986 hartree per atom